# 1
# MgCdSbTe2 | the Alexandria database | PBE-GGA | optimized geometry
data_MgCdSbTe2
_chemical_formula_sum 'Mg1 Cd1 Sb1 Te2'
_cell_length_a 5.526
_cell_length_b 5.526
_cell_length_c 5.371
_cell_angle_alpha 90.00
_cell_angle_beta 90.00
_cell_angle_gamma 90.00
_space_group_name_H-M_alt 'P 1'
_space_group_IT_number 1
loop_
_space_group_symop_operation_xyz
'x,y,z'
loop_
_atom_site_label
_atom_site_fract_x
_atom_site_fract_y
_atom_site_fract_z
Cd1 0.500 0.500 0.500
Te1 0.500 0.000 0.000
Te2 0.000 0.500 0.000
Sb1 0.000 0.000 0.500
Mg1 0.000 0.000 0.000
# ΔE_f (raw) (eV/atom): 0.345
# Energy relative to the lowest polymorph listed for this composition (kcal/mol of atoms): 0.00
# Crystal system: tetragonal
# Space group: No. 123

***

# 2
# MgTlCdSb | the Alexandria database | PBE-GGA | optimized geometry
data_MgTlCdSb
_chemical_formula_sum 'Mg1 Tl1 Cd1 Sb1'
_cell_length_a 5.300
_cell_length_b 5.300
_cell_length_c 5.300
_cell_angle_alpha 60.00
_cell_angle_beta 60.00
_cell_angle_gamma 60.00
_space_group_name_H-M_alt 'P 1'
_space_group_IT_number 1
loop_
_space_group_symop_operation_xyz
'x,y,z'
loop_
_atom_site_label
_atom_site_fract_x
_atom_site_fract_y
_atom_site_fract_z
Mg1 0.500 0.500 0.500
Tl1 0.750 0.750 0.750
Cd1 0.000 0.000 0.000
Sb1 0.250 0.250 0.250
# ΔE_f (raw) (eV/atom): -0.001
# Crystal system: cubic
# Space group: No. 216

***

# 3
# Mg2CdSbW | the Alexandria database | PBE-GGA | optimized geometry
data_Mg2CdSbW
_chemical_formula_sum 'Mg2 Cd1 Sb1 W1'
_cell_length_a 5.008
_cell_length_b 5.200
_cell_length_c 5.008
_cell_angle_alpha 90.00
_cell_angle_beta 90.00
_cell_angle_gamma 90.00
_space_group_name_H-M_alt 'P 1'
_space_group_IT_number 1
loop_
_space_group_symop_operation_xyz
'x,y,z'
loop_
_atom_site_label
_atom_site_fract_x
_atom_site_fract_y
_atom_site_fract_z
Mg1 0.000 0.000 0.500
Mg2 0.500 0.000 0.000
W1 0.000 0.500 0.000
Cd1 0.000 0.000 0.000
Sb1 0.500 0.500 0.500
# ΔE_f (raw) (eV/atom): 1.123
# Crystal system: tetragonal
# Space group: No. 123

***

| no. | spin magnetization (μB per formula unit) | energy (eV per cell) | Fermi-level density of states (states/eV per cell) |
| --- | --- | --- | --- |
| 1 | 0.000 | -11.19 | 6.4 |
| 2 | 0.000 | -9.00 | 1.2 |
| 3 | 2.478 | -15.56 | 3.3 |